Material: LiTcSb
Method: DFT, PBE
State: relaxed

The structure belongs to space group P3m1 (No. 156); the cell edges are 4.5441, 4.5441 and 2.9077 Å and the angles 90.00°, 90.00° and 120.00°. The distinct sites, in fractional coordinates, are Li at (0.0000, 0.0000, 0.0000), Tc at (0.3333, 0.6667, 0.5274) and Sb at (0.6667, 0.3333, 0.3838).

Its volume is 17.332 A^3/atom. The excess energy over the best structure of this formula in the dataset comes out at 311 meV/atom. The total energy comes out at -16.0 eV for the cell shown. The calculation puts the raw formation energy at 132 meV per atom.